# 1
NiIBr3 | PBE | optimized geometry

Summary:
Raw formation energy in eV per formula unit: 0.61
Total magnetization in μB/atom: 0.0002
DOS(E_F) in states/eV/atom: 1.84

Lattice parameters (Å, degrees): 5.001 5.001 5.001 90.00 90.00 90.00
Fractional positions:
Ni 0.000 0.000 0.000
I 0.500 0.500 0.500
Br 0.000 0.000 0.500
Br 0.000 0.500 0.000
Br 0.500 0.000 0.000



# 2
IrPt2S2 | PBE | optimized geometry

Summary:
Raw formation energy in eV per formula unit: 4.45
Total magnetization in μB/atom: 0.0000
DOS(E_F) in states/eV/atom: 0.74

Lattice parameters (Å, degrees): 3.782 3.782 11.375 90.00 90.00 90.00
Fractional positions:
Ir 0.000 0.000 0.000
Ir 0.500 0.500 0.500
Pt 0.000 0.500 0.250
Pt 0.000 0.500 0.750
Pt 0.500 0.000 0.250
Pt 0.500 0.000 0.750
S 0.000 0.000 0.401
S 0.000 0.000 0.599
S 0.500 0.500 0.099
S 0.500 0.500 0.901



# 3
Ce3Ho5As12 | PBE | optimized geometry

Summary:
ΔH_f (0 K) in eV per atom: -0.6471
Total magnetization in μB/atom: 0.0000
DOS(E_F) in states/eV/atom: 0.87

Lattice parameters (Å, degrees): 14.464 14.464 14.464 109.47 109.47 109.47
Fractional positions:
Ce 0.125 0.250 0.375
Ce 0.125 0.375 0.750
Ce 0.250 0.375 0.125
Ce 0.250 0.875 0.625
Ce 0.375 0.125 0.250
Ce 0.375 0.750 0.125
Ce 0.625 0.250 0.875
Ce 0.625 0.875 0.750
Ce 0.750 0.125 0.375
Ce 0.750 0.625 0.875
Ce 0.875 0.625 0.250
Ce 0.875 0.750 0.625
Ho 0.000 0.000 0.000
Ho 0.000 0.000 0.500
Ho 0.000 0.500 0.000
Ho 0.000 0.500 0.500
Ho 0.125 0.750 0.875
Ho 0.125 0.875 0.250
Ho 0.250 0.125 0.875
Ho 0.250 0.625 0.375
Ho 0.375 0.250 0.625
Ho 0.375 0.625 0.750
Ho 0.500 0.000 0.000
Ho 0.500 0.000 0.500
Ho 0.500 0.500 0.000
Ho 0.500 0.500 0.500
Ho 0.625 0.375 0.250
Ho 0.625 0.750 0.375
Ho 0.750 0.375 0.625
Ho 0.750 0.875 0.125
Ho 0.875 0.125 0.750
Ho 0.875 0.250 0.125
As 0.070 0.245 0.149
As 0.070 0.325 0.921
As 0.079 0.649 0.404
As 0.079 0.930 0.675
As 0.096 0.745 0.675
As 0.096 0.851 0.421
As 0.149 0.070 0.245
As 0.149 0.579 0.904
As 0.175 0.245 0.596
As 0.175 0.430 0.579
As 0.245 0.149 0.070
As 0.245 0.596 0.175
As 0.255 0.325 0.904
As 0.255 0.430 0.351
As 0.325 0.904 0.255
As 0.325 0.921 0.070
As 0.351 0.255 0.430
As 0.351 0.596 0.921
As 0.404 0.079 0.649
As 0.404 0.825 0.755
As 0.421 0.096 0.851
As 0.421 0.825 0.570
As 0.430 0.351 0.255
As 0.430 0.579 0.175
As 0.570 0.421 0.825
As 0.570 0.649 0.745
As 0.579 0.175 0.430
As 0.579 0.904 0.149
As 0.596 0.175 0.245
As 0.596 0.921 0.351
As 0.649 0.404 0.079
As 0.649 0.745 0.570
As 0.675 0.079 0.930
As 0.675 0.096 0.745
As 0.745 0.570 0.649
As 0.745 0.675 0.096
As 0.755 0.404 0.825
As 0.755 0.851 0.930
As 0.825 0.570 0.421
As 0.825 0.755 0.404
As 0.851 0.421 0.096
As 0.851 0.930 0.755
As 0.904 0.149 0.579
As 0.904 0.255 0.325
As 0.921 0.070 0.325
As 0.921 0.351 0.596
As 0.930 0.675 0.079
As 0.930 0.755 0.851



# 4
BeV3Pt | PBE | optimized geometry

Summary:
ΔH_f (0 K) in eV per atom: 1.3632
Total magnetization in μB/atom: 0.0011
DOS(E_F) in states/eV/atom: 1.50

Lattice parameters (Å, degrees): 4.617 4.617 4.617 90.00 90.00 90.00
Fractional positions:
Be 0.000 0.000 0.000
V 0.000 0.500 0.500
V 0.500 0.000 0.500
V 0.500 0.500 0.000
Pt 0.500 0.500 0.500



# 5
PuTl2S3 | PBE | optimized geometry

Summary:
Raw formation energy in eV per formula unit: -5.21
Total magnetization in μB/atom: 0.6665
DOS(E_F) in states/eV/atom: 1.66

Lattice parameters (Å, degrees): 4.062 5.801 14.389 90.00 90.00 90.00
Fractional positions:
Pu 0.000 0.000 0.000
Pu 0.500 0.500 0.500
Tl 0.000 0.000 0.336
Tl 0.000 0.000 0.664
Tl 0.500 0.500 0.164
Tl 0.500 0.500 0.836
S 0.000 0.500 0.000
S 0.000 0.500 0.380
S 0.000 0.500 0.620
S 0.500 0.000 0.120
S 0.500 0.000 0.500
S 0.500 0.000 0.880



# 6
Ba2FeRh | PBE | optimized geometry

Summary:
ΔH_f (0 K) in eV per atom: 0.1947
Total magnetization in μB/atom: 0.7566
DOS(E_F) in states/eV/atom: 1.37

Lattice parameters (Å, degrees): 4.149 4.689 14.049 90.00 90.00 90.00
Fractional positions:
Ba 0.000 0.000 0.000
Ba 0.000 0.500 0.246
Ba 0.500 0.000 0.746
Ba 0.500 0.500 0.500
Fe 0.000 0.500 0.829
Fe 0.500 0.000 0.329
Rh 0.000 0.000 0.415
Rh 0.500 0.500 0.915



# 7
AcErAlCd | PBE | optimized geometry

Summary:
ΔH_f (0 K) in eV per atom: -0.2449
Total magnetization in μB/atom: 0.0000
DOS(E_F) in states/eV/atom: 0.98

Lattice parameters (Å, degrees): 7.711 7.711 7.711 90.00 90.00 90.00
Fractional positions:
Ac 0.000 0.000 0.000
Ac 0.000 0.500 0.500
Ac 0.500 0.000 0.500
Ac 0.500 0.500 0.000
Er 0.000 0.000 0.500
Er 0.000 0.500 0.000
Er 0.500 0.000 0.000
Er 0.500 0.500 0.500
Al 0.250 0.250 0.750
Al 0.250 0.750 0.250
Al 0.750 0.250 0.250
Al 0.750 0.750 0.750
Cd 0.250 0.250 0.250
Cd 0.250 0.750 0.750
Cd 0.750 0.250 0.750
Cd 0.750 0.750 0.250



# 8
TeRhW2 | PBE | optimized geometry

Summary:
Raw formation energy in eV per formula unit: 2.25
Total magnetization in μB/atom: 0.0000
DOS(E_F) in states/eV/atom: 0.88

Lattice parameters (Å, degrees): 2.933 4.339 5.536 90.00 103.82 90.00
Fractional positions:
Te 0.000 0.000 0.000
Rh 0.000 0.000 0.500
W 0.454 0.500 0.259
W 0.546 0.500 0.741



# 9
Mg2Pd2Rh | PBE | optimized geometry

Summary:
ΔH_f (0 K) in eV per atom: -0.3183
Total magnetization in μB/atom: 0.0000
DOS(E_F) in states/eV/atom: 0.76

Lattice parameters (Å, degrees): 7.293 7.293 3.002 90.00 90.00 90.00
Fractional positions:
Mg 0.148 0.352 0.000
Mg 0.352 0.852 0.000
Mg 0.648 0.148 0.000
Mg 0.852 0.648 0.000
Pd 0.152 0.652 0.500
Pd 0.348 0.152 0.500
Pd 0.652 0.848 0.500
Pd 0.848 0.348 0.500
Rh 0.000 0.000 0.000
Rh 0.500 0.500 0.000



# 10
YCrCo3 | PBE | optimized geometry

Summary:
ΔH_f (0 K) in eV per atom: 0.4386
Total magnetization in μB/atom: 0.0000
DOS(E_F) in states/eV/atom: 1.44

Lattice parameters (Å, degrees): 4.274 4.274 4.274 90.00 90.00 90.00
Fractional positions:
Y 0.000 0.000 0.000
Cr 0.500 0.500 0.500
Co 0.000 0.500 0.500
Co 0.500 0.000 0.500
Co 0.500 0.500 0.000



# 11
Tb3Ho3Er5 | PBE | optimized geometry

Summary:
ΔH_f (0 K) in eV per atom: 0.8217
Total magnetization in μB/atom: 0.0000
DOS(E_F) in states/eV/atom: 1.36

Lattice parameters (Å, degrees): 9.617 9.617 5.512 90.00 90.00 120.00
Fractional positions:
Tb 0.000 0.461 0.000
Tb 0.461 0.000 0.000
Tb 0.539 0.539 0.000
Ho 0.000 0.637 0.500
Ho 0.363 0.363 0.500
Ho 0.637 0.000 0.500
Er 0.000 0.283 0.500
Er 0.283 0.000 0.500
Er 0.333 0.667 0.500
Er 0.667 0.333 0.500
Er 0.717 0.717 0.500



# 12
Tl2NiAs2 | PBE | optimized geometry

Summary:
ΔH_f (0 K) in eV per atom: 0.4491
Total magnetization in μB/atom: 0.0000
DOS(E_F) in states/eV/atom: 0.53

Lattice parameters (Å, degrees): 7.184 7.184 5.030 90.00 90.00 90.00
Fractional positions:
Tl 0.195 0.305 0.000
Tl 0.305 0.805 0.000
Tl 0.695 0.195 0.000
Tl 0.805 0.695 0.000
Ni 0.000 0.000 0.000
Ni 0.500 0.500 0.000
As 0.113 0.613 0.500
As 0.387 0.113 0.500
As 0.613 0.887 0.500
As 0.887 0.387 0.500



# 13
Ho2TiGa3 | PBE | optimized geometry

Summary:
ΔH_f (0 K) in eV per atom: -0.4344
Total magnetization in μB/atom: 0.0796
DOS(E_F) in states/eV/atom: 0.79

Lattice parameters (Å, degrees): 4.534 13.676 3.904 90.00 90.00 90.00
Fractional positions:
Ho 0.000 0.166 0.000
Ho 0.000 0.834 0.000
Ho 0.500 0.334 0.000
Ho 0.500 0.666 0.000
Ti 0.000 0.500 0.000
Ti 0.500 0.000 0.000
Ga 0.000 0.000 0.500
Ga 0.000 0.352 0.500
Ga 0.000 0.648 0.500
Ga 0.500 0.148 0.500
Ga 0.500 0.500 0.500
Ga 0.500 0.852 0.500